1.
DFT (PBE) results for an optimized crystal structure of LaZrHg2.

Cell lengths 9.4511, 3.6563, 6.5920 Å; angles 90.00, 102.61, 90.00 degrees
Space group C2/m (No. 12)
Inequivalent atoms, fractional coordinates:
La1 0.0000 0.0000 0.0000 x2
Zr1 0.0000 0.5000 0.5000 x2
Hg1 0.2404 0.0000 0.6981 x4

**Calculated density**: 9.43 g cm⁻³
**E_form**: -0.131 eV/atom
**Electronic total energy**: -29.21 eV for the cell shown
**Fermi-level density of states**: 0.939 states/eV/atom

=====

2.
DFT (PBE) results for an optimized crystal structure of LaZr2Hg.

Cell lengths 3.2636, 5.3566, 5.7924 Å; angles 90.00, 90.07, 90.00 degrees
Space group Pm (No. 6)
Inequivalent atoms, fractional coordinates:
La1 0.0000 0.0000 0.0000 x1
Zr1 0.4974 0.0000 0.5030 x1
Zr2 0.9949 0.5000 0.3671 x1
Hg1 0.4984 0.5000 0.8203 x1

**Calculated density**: 8.56 g cm⁻³
**E_form**: -0.005 eV/atom
**Electronic total energy**: -22.34 eV for the cell shown
**Fermi-level density of states**: 1.483 states/eV/atom

=====

3.
DFT (PBE) results for an optimized crystal structure of LaZrHg2.

Cell lengths 3.8725, 3.8725, 7.0665 Å; angles 90.00, 90.00, 90.00 degrees
Space group P4mm (No. 99)
Inequivalent atoms, fractional coordinates:
La1 0.0000 0.0000 0.0000 x1
Zr1 0.5000 0.5000 0.3096 x1
Hg1 0.0000 0.0000 0.4933 x1
Hg2 0.5000 0.5000 0.7413 x1

**Calculated density**: 9.89 g cm⁻³
**E_form**: -0.116 eV/atom
**Electronic total energy**: -14.54 eV for the cell shown
**Fermi-level density of states**: 0.863 states/eV/atom